Zr3NiB2 PBE relaxed; M_tot = 0.0 μB per formula unit; symmetry = P6_3/mmc (194); calculated volume = 95 Å³/f.u.; DFT total energy = -7.732 eV/atom
1.0
-1.533 -1.834 -2.460
3.164 -0.827 1.036
-7.221 -11.374 12.982
Zr B Ni
6 4 2
Direct
0.000 0.000 0.000
0.667 0.333 0.150
0.000 0.000 0.500
0.333 0.667 0.850
0.667 0.333 0.350
0.333 0.667 0.650
0.667 0.333 0.578
0.667 0.333 0.922
0.333 0.667 0.422
0.333 0.667 0.078
0.000 0.000 0.750
0.000 0.000 0.250